[1]
A plane-wave DFT calculation with PBE was carried out for a geometry-optimized Mn3CoNi structure.

Calculated values
Size of the total moment = 12.5 μB per cell
ΔE_f = 24.397 kcal/mol of atoms
Relative energy among the computed polymorphs = 0 meV per atom

Lattice parameters (Å, degrees): 4.374 4.374 4.374 90.00 90.00 90.00
Site moments in Bohr magnetons follow the coordinates.
Sites, in units of the cell vectors:
Mn: 0.000 0.500 0.000  3.53
Co: 0.000 0.000 0.000  1.02
Mn: 0.000 0.000 0.500  3.42
Mn: 0.500 0.000 0.000  3.64
Ni: 0.500 0.500 0.500  0.47


[2]
A plane-wave DFT calculation with PBE was carried out for a geometry-optimized MnCo6Ni12 structure.

Calculated values
Size of the total moment = 22.5 μB per cell
ΔE_f = 8.029 kcal/mol of atoms

Lattice parameters (Å, degrees): 6.524 6.524 6.524 106.55 106.55 106.55
Site moments in Bohr magnetons follow the coordinates.
Sites, in units of the cell vectors:
Ni: 0.113 0.500 0.887  0.72
Co: 0.710 0.305 0.305  1.78
Co: 0.695 0.290 0.695  1.78
Co: 0.305 0.710 0.305  1.78
Ni: 0.113 0.887 0.500  0.72
Ni: 0.500 0.887 0.113  0.72
Ni: 0.647 0.883 0.647  0.69
Ni: 0.883 0.647 0.647  0.69
Co: 0.695 0.695 0.290  1.78
Ni: 0.500 0.113 0.887  0.72
Ni: 0.353 0.117 0.353  0.69
Ni: 0.647 0.647 0.883  0.69
Ni: 0.887 0.500 0.113  0.72
Ni: 0.117 0.353 0.353  0.69
Ni: 0.353 0.353 0.117  0.69
Co: 0.290 0.695 0.695  1.78
Mn: 0.000 0.000 0.000  3.81
Ni: 0.887 0.113 0.500  0.72
Co: 0.305 0.305 0.710  1.78